This record from Alexandria via LeMat-Bulk describes crystalline PrGaAs2 at its relaxed geometry. The functional is PBE-GGA.

a = 7.840 Å, b = 7.840 Å, c = 7.840 Å
α = 34.92°, β = 34.92°, γ = 34.92°
Element x y z (fractional)
Pr (0.000, 0.000, 0.000)
Ga (0.500, 0.500, 0.500)
As (0.397, 0.397, 0.397)
As (0.603, 0.603, 0.603)

Output
Spin magnetization: 0.0 μB/f.u.
Calculated volume: 35.242 A^3/atom
Total energy: -18.86 eV for the cell shown
SG: R-3m (166)